Record 1
NaNdW | GGA-PBE | relaxed

## Properties
- energy (hartree per atom) = -0.195
- ΔE to the lowest computed polymorph (meV per atom) = 0

Unit cell a=9.2016 b=9.2016 c=2.8193 alpha=90.00 beta=90.00 gamma=120.00
Space group P-62m (No. 189)
Inequivalent atoms, fractional coordinates:
Na (0.0000, 0.3096, 0.0000)
Nd (0.0000, 0.6417, 0.5000)
W (0.0000, 0.0000, 0.5000)
W (0.3333, 0.6667, 0.0000)

---

Record 2
NaNdZn | GGA-PBE | relaxed

## Properties
- energy (hartree per atom) = -0.084

Unit cell a=7.031 b=7.031 c=7.031 alpha=90.00 beta=90.00 gamma=90.00
Space group F-43m (No. 216)
Inequivalent atoms, fractional coordinates:
Na (0.000, 0.000, 0.000)
Nd (0.000, 0.000, 0.500)
Zn (0.250, 0.250, 0.250)

---

Record 3
NaNdZr | GGA-PBE | relaxed

## Properties
- energy (hartree per atom) = -0.135

Unit cell a=7.453 b=7.453 c=7.453 alpha=90.00 beta=90.00 gamma=90.00
Space group F-43m (No. 216)
Inequivalent atoms, fractional coordinates:
Na (0.000, 0.000, 0.000)
Nd (0.000, 0.000, 0.500)
Zr (0.250, 0.250, 0.250)

---

Record 4
Na3Ni | GGA-PBE | relaxed

## Properties
- energy (hartree per atom) = -0.072

Unit cell a=4.525 b=4.525 c=4.525 alpha=90.00 beta=90.00 gamma=90.00
Space group Pm-3m (No. 221)
Inequivalent atoms, fractional coordinates:
Na (0.000, 0.000, 0.500)
Ni (0.500, 0.500, 0.500)

---

Record 5
Na2Ni | GGA-PBE | relaxed

## Properties
- energy (hartree per atom) = -0.077

Unit cell a=6.822 b=6.822 c=6.822 alpha=90.00 beta=90.00 gamma=90.00
Space group Fm-3m (No. 225)
Inequivalent atoms, fractional coordinates:
Na (0.250, 0.250, 0.250)
Ni (0.000, 0.000, 0.000)

---

Record 6
Na2Ni3 | GGA-PBE | relaxed

## Properties
- energy (hartree per atom) = -0.110

Unit cell a=6.4708 b=6.4708 c=14.1728 alpha=90.00 beta=90.00 gamma=120.00
Space group R-3c (No. 167, hexagonal axes)
Inequivalent atoms, fractional coordinates:
Na (0.0000, 0.0000, 0.0856)
Ni (0.0000, 0.2078, 0.2500)

---

Record 7
Na2Ni | GGA-PBE | relaxed

## Properties
- energy (hartree per atom) = -0.062

Unit cell a=11.995 b=11.995 c=11.995 alpha=90.00 beta=90.00 gamma=90.00
Space group Fd-3m (No. 227, origin choice 2)
Inequivalent atoms, fractional coordinates:
Na (0.000, 0.000, 0.000)
Ni (0.125, 0.125, 0.125)

---

Record 8
NaNi5 | GGA-PBE | relaxed

## Properties
- energy (hartree per atom) = -0.170

Unit cell a=4.8365 b=4.8365 c=3.9195 alpha=90.00 beta=90.00 gamma=120.00
Space group P6/mmm (No. 191)
Inequivalent atoms, fractional coordinates:
Na (0.0000, 0.0000, 0.0000)
Ni (0.0000, 0.5000, 0.5000)
Ni (0.3333, 0.6667, 0.0000)

---

Q: Look up the energy of the first one.
A: -0.195 hartree per atom

---

Q: Among the records above, which one has the highest energy?
A: number 7

---

Q: energy of number 4 (Na3Ni)?
A: -0.072 hartree per atom

---

Q: Which of these has the lowest energy?
A: NaNdW